(1)
Below is a relaxed Er3SnPd crystal, with properties calculated at the PBE-GGA level.

```
Er3SnPd
1.0
6.350 -5.417 0.000
6.350 5.417 0.000
-0.004 0.000 7.910
Er Sn Pd
12 4 4
Cartesian
1.371 0.996 3.262
3.172 1.906 6.311
1.369 -0.996 7.217
4.969 0.993 3.262
3.174 -1.906 2.356
4.968 -0.993 7.217
7.728 0.993 0.693
9.522 1.906 5.554
7.726 -0.993 4.648
11.326 0.996 0.693
9.524 -1.906 1.599
11.325 -0.996 4.647
6.349 3.682 1.977
6.347 1.730 5.932
6.349 -1.730 1.977
6.347 -3.682 5.932
3.168 0.650 0.976
3.166 -0.650 4.931
9.529 0.650 2.979
9.528 -0.650 6.934
```

Properties
The magnetic moment comes out at 0.0 μB/cell. The crystal system is monoclinic. As for the space group: C2/c. The calculation puts the formation enthalpy at 0 K at -0.584 eV per atom.

(2)
Below is a relaxed Er3Sn2Pd crystal, with properties calculated at the PBE-GGA level.

```
Er3Sn2Pd
1.0
12.045 0.000 0.000
0.000 4.508 0.000
0.000 0.000 11.388
Er Sn Pd
12 8 4
Cartesian
0.622 1.127 1.472
1.523 3.381 6.359
2.799 1.127 9.103
3.224 3.381 3.409
4.500 1.127 0.664
5.400 3.381 7.166
6.645 1.127 4.223
7.546 3.381 10.724
8.821 1.127 7.980
9.247 3.381 2.286
10.522 1.127 5.030
11.423 3.381 9.917
0.015 3.381 3.538
2.225 3.381 0.073
3.798 1.127 5.767
6.008 1.127 9.232
6.038 3.381 2.156
8.248 3.381 5.621
9.820 1.127 11.315
12.030 1.127 7.850
1.485 1.127 4.262
4.537 3.381 9.956
7.508 1.127 1.432
10.560 3.381 7.126
```

Properties
The magnetic moment comes out at 0.0 μB/cell. The crystal system is orthorhombic. As for the space group: Pnma. The calculation puts the formation enthalpy at 0 K at -0.787 eV per atom.

(3)
Below is a relaxed Er3Sn2Pd6 crystal, with properties calculated at the PBE-GGA level.

```
Er3Sn2Pd6
1.0
-4.812 4.812 4.812
4.812 -4.812 4.812
4.812 4.812 -4.812
Er Sn Pd
6 4 12
Cartesian
2.787 0.000 0.000
6.837 0.000 0.000
0.000 2.787 0.000
0.000 0.000 2.787
0.000 6.837 0.000
0.000 0.000 6.837
2.406 2.406 -2.406
2.406 -2.406 2.406
-2.406 2.406 2.406
2.406 2.406 2.406
4.812 1.508 -1.508
4.812 -1.508 1.508
4.812 1.508 1.508
1.508 4.812 -1.508
3.304 3.304 0.000
1.508 -1.508 4.812
3.304 0.000 3.304
-1.508 4.812 1.508
1.508 4.812 1.508
-1.508 1.508 4.812
1.508 1.508 4.812
0.000 3.304 3.304
```

Properties
The magnetic moment comes out at 0.0 μB/cell. The crystal system is cubic. As for the space group: Im-3m. The calculation puts the formation enthalpy at 0 K at -0.786 eV per atom.

(4)
Below is a relaxed Er3Sn2Pd7 crystal, with properties calculated at the PBE-GGA level.

```
Er3Sn2Pd7
1.0
-2.016 2.016 14.728
2.016 -2.016 14.728
2.016 2.016 -14.728
Er Sn Pd
3 2 7
Cartesian
0.000 0.000 0.000
0.000 0.000 5.399
0.000 0.000 24.056
0.000 0.000 10.898
0.000 0.000 18.557
2.016 0.000 2.109
0.000 0.000 8.177
2.016 0.000 12.619
0.000 0.000 14.728
0.000 2.016 2.109
0.000 0.000 21.278
0.000 2.016 12.619
```

Properties
The magnetic moment comes out at 0.0 μB/cell. The crystal system is tetragonal. As for the space group: I4/mmm. The calculation puts the formation enthalpy at 0 K at -0.741 eV per atom.

(5)
Below is a relaxed Er2SnPd crystal, with properties calculated at the PBE-GGA level.

```
Er2SnPd
1.0
6.057 0.000 0.000
0.000 4.383 0.000
-2.903 0.000 7.445
Er Sn Pd
4 2 2
Cartesian
-0.057 1.096 3.304
-1.241 1.096 6.745
4.395 3.287 0.700
3.211 3.287 4.141
1.338 3.287 1.540
1.815 1.096 5.905
0.022 3.287 5.250
3.132 1.096 2.195
```

Properties
The magnetic moment comes out at 0.0 μB/cell. The crystal system is monoclinic. As for the space group: P2_1/m. The calculation puts the formation enthalpy at 0 K at -0.821 eV per atom.

(6)
Below is a relaxed ErSn2Pd2 crystal, with properties calculated at the PBE-GGA level.

```
ErSn2Pd2
1.0
4.703 0.000 0.000
0.000 4.818 0.000
0.000 0.000 9.691
Er Sn Pd
2 4 4
Cartesian
1.176 1.204 1.732
3.527 3.613 7.960
1.176 1.204 4.938
1.176 1.204 8.088
3.527 3.613 1.604
3.527 3.613 4.753
1.176 3.613 3.264
1.176 3.613 9.591
3.527 1.204 0.100
3.527 1.204 6.427
```

Properties
The magnetic moment comes out at 0.0 μB/cell. The crystal system is orthorhombic. As for the space group: Pmmn. The calculation puts the formation enthalpy at 0 K at -0.735 eV per atom.

(7)
Below is a relaxed Er8Sn2Pd crystal, with properties calculated at the PBE-GGA level.

```
Er8Sn2Pd
1.0
9.478 -2.470 0.000
9.478 2.470 0.000
-1.532 0.000 6.488
Er Sn Pd
8 2 1
Cartesian
-0.077 0.000 1.788
2.842 0.000 5.338
5.923 0.000 3.217
7.696 0.000 0.167
9.728 0.000 6.321
11.501 0.000 3.272
14.581 0.000 1.150
17.501 0.000 4.700
3.064 0.000 1.713
14.359 0.000 4.776
8.712 0.000 3.244
```

Properties
The magnetic moment comes out at 0.0 μB/cell. The crystal system is monoclinic. As for the space group: C2/m. The calculation puts the formation enthalpy at 0 K at -0.425 eV per atom.

(8)
Below is a relaxed Er3Sn3Pd2 crystal, with properties calculated at the PBE-GGA level.

```
Er3Sn3Pd2
1.0
8.389 0.000 0.000
0.000 15.255 0.000
0.000 0.000 5.866
Er Sn Pd
12 12 8
Cartesian
0.269 1.707 0.724
0.269 5.921 0.724
1.455 3.814 3.735
2.740 11.441 0.802
3.926 9.334 3.657
3.926 13.548 3.657
4.463 1.707 2.209
4.463 5.921 2.209
5.650 3.814 5.064
6.934 11.441 2.131
8.121 9.334 5.142
8.121 13.548 5.142
1.572 11.441 3.709
1.680 0.554 3.520
1.680 7.073 3.520
2.514 8.182 0.587
2.514 14.700 0.587
2.622 3.814 0.776
5.767 11.441 5.090
5.875 0.554 5.278
5.875 7.073 5.278
6.709 8.182 2.345
6.709 14.700 2.345
6.817 3.814 2.157
0.699 9.356 2.182
0.699 13.526 2.182
3.495 1.728 5.115
3.495 5.899 5.115
4.894 9.356 0.751
4.894 13.526 0.751
7.690 1.728 3.684
7.690 5.899 3.684
```

Properties
The magnetic moment comes out at 0.0 μB/cell. The crystal system is orthorhombic. As for the space group: Pnma. The calculation puts the formation enthalpy at 0 K at -0.815 eV per atom.

(9)
Below is a relaxed Er4SnPd2 crystal, with properties calculated at the PBE-GGA level.

```
Er4SnPd2
1.0
2.338 1.350 9.848
-2.338 1.350 9.848
0.000 -2.700 9.848
Er Sn Pd
4 1 2
Cartesian
0.000 0.000 3.413
0.000 0.000 8.817
0.000 0.000 20.727
0.000 0.000 26.131
0.000 0.000 14.772
0.000 0.000 11.818
0.000 0.000 17.726
```

Properties
The magnetic moment comes out at 0.0 μB/cell. The crystal system is trigonal. As for the space group: R-3m. The calculation puts the formation enthalpy at 0 K at -0.607 eV per atom.

(10)
Below is a relaxed Er2SnPd6 crystal, with properties calculated at the PBE-GGA level.

```
Er2SnPd6
1.0
7.102 -3.657 0.000
7.102 3.657 0.000
-0.006 0.000 3.374
Er Sn Pd
2 1 6
Cartesian
2.711 0.000 1.685
11.488 0.000 1.689
7.102 0.000 0.000
4.846 1.435 0.002
7.099 2.210 1.687
9.353 1.435 3.372
4.846 -1.435 0.002
7.099 -2.210 1.687
9.353 -1.435 3.372
```

Properties
The magnetic moment comes out at 0.0 μB/cell. The crystal system is monoclinic. As for the space group: C2/m. The calculation puts the formation enthalpy at 0 K at -0.633 eV per atom.

(11)
Below is a relaxed ErSn2Pd7 crystal, with properties calculated at the PBE-GGA level.

```
ErSn2Pd7
1.0
3.690 -6.711 0.000
3.690 6.711 0.000
0.000 0.000 4.436
Er Sn Pd
1 2 7
Cartesian
0.000 0.000 0.000
3.690 2.654 2.218
3.690 -2.654 2.218
1.343 1.443 2.218
3.690 3.989 0.000
1.343 -1.443 2.218
3.690 0.000 2.218
6.038 1.443 2.218
3.690 -3.989 0.000
6.038 -1.443 2.218
```

Properties
The magnetic moment comes out at 0.0 μB/cell. The crystal system is orthorhombic. As for the space group: Cmmm. The calculation puts the formation enthalpy at 0 K at -0.271 eV per atom. The value obtained for the relative energy among the computed polymorphs is 3.432 eV per formula unit.

(12)
Below is a relaxed ErSnPd5 crystal, with properties calculated at the PBE-GGA level.

```
ErSnPd5
1.0
3.835 -2.924 0.000
3.835 2.924 0.000
0.000 0.000 11.593
Er Sn Pd
2 2 10
Cartesian
3.835 2.906 8.695
3.835 -2.906 2.898
3.835 0.000 0.000
3.835 0.000 5.797
1.912 1.450 7.189
1.912 1.450 10.201
1.912 -1.450 1.393
1.912 -1.450 4.404
3.835 0.011 2.898
3.835 -0.011 8.695
5.758 1.450 7.189
5.758 1.450 10.201
5.758 -1.450 1.393
5.758 -1.450 4.404
```

Properties
The magnetic moment comes out at 0.0 μB/cell. The crystal system is orthorhombic. As for the space group: Cmcm. The calculation puts the formation enthalpy at 0 K at -0.641 eV per atom. The value obtained for the relative energy among the computed polymorphs is 0.582 eV per formula unit.